Computed, not measured: a relaxed NaIn2P2 crystal at the PBE-GGA level of DFT.

Unit cell a=4.587 b=4.587 c=7.288 alpha=71.66 beta=71.66 gamma=90.00
Atoms (fractional coordinates):
1 P 0.362 0.362 0.276
2 P 0.638 0.638 0.724
3 Na 0.000 0.000 0.000
4 In 0.750 0.250 0.500
5 In 0.250 0.750 0.500

Summary:
**Space-group type**: I4/mmm (139)
**M_tot**: 0.00 μB/f.u.
**Raw total energy**: -3.53 eV per atom
**DOS(E_F)**: 1.19 states/eV/f.u.